A geometry-optimized Na4PmPa3N8 structure. Source: Alexandria, functional PBE.

extended XYZ file:
```
16
Lattice="-5.8580 -1.0603 -3.9498 3.9600 -0.1699 -5.8276 1.4349 -4.3724 5.5069" Properties=species:S:1:pos:R:3 pbc="T T T"
Na -2.9290 -0.5301 -1.9749
Na -2.2116 -2.7164 0.7786
Na 0.0000 0.0000 0.0000
Na 0.7174 -2.1862 2.7535
Pm 1.9800 -0.0849 -2.9138
Pa -0.9490 -0.6151 -4.8887
Pa -0.2316 -2.8013 -2.1352
Pa 2.6974 -2.2712 -0.1603
N 2.6720 -4.5270 0.2768
N 2.0073 -2.4586 -2.3171
N 0.4166 -2.6710 0.0992
N -0.0701 -5.0233 -1.5720
N -0.3930 -0.5793 -2.6984
N -0.8797 -2.9316 -4.3697
N -2.4704 -3.1440 -1.9534
N -3.1351 -1.0756 -4.5473
```

Values from the calculation:
E ... -7.57 eV per atom
N(E_F) ... 12.246 states/eV/cell
Space group ... No. 12
Crystal system ... monoclinic



A geometry-optimized Tb5ZrSb4 structure. Source: Alexandria, functional PBE.

extended XYZ file:
```
10
Lattice="4.2356 0.0000 0.0000 0.0000 8.2843 -0.5875 -2.1178 -1.8001 9.0515" Properties=species:S:1:pos:R:3 pbc="T T T"
Tb 2.1178 4.1948 5.4719
Tb 2.1178 0.3061 5.9441
Tb 0.0000 6.1781 2.5199
Tb 2.1178 4.1422 -0.2937
Tb 0.0000 2.2893 2.9922
Zr 2.1178 0.0000 0.0000
Sb 0.0000 6.3958 5.5304
Sb 2.1178 4.4616 8.5013
Sb 2.1178 0.0883 2.9337
Sb 0.0000 2.0226 -0.0372
```

Values from the calculation:
E ... -5.48 eV per atom
N(E_F) ... 5.532 states/eV/cell
Space group ... No. 12
Crystal system ... monoclinic



A geometry-optimized BiAuSN2 structure. Source: Alexandria, functional PBE.

extended XYZ file:
```
5
Lattice="4.1462 0.0000 0.0000 0.0000 4.1462 0.0000 0.0000 0.0000 5.0514" Properties=species:S:1:pos:R:3 pbc="T T T"
S 0.0000 0.0000 2.5257
Au 0.0000 0.0000 0.0000
Bi 2.0731 2.0731 2.5257
N 0.0000 2.0731 0.0000
N 2.0731 0.0000 0.0000
```

Values from the calculation:
E ... -4.10 eV per atom
N(E_F) ... 1.932 states/eV/cell
Space group ... No. 123
Crystal system ... tetragonal
Polymorph energy (0 for the lowest one) ... 0.000 eV/atom